Here is a relaxed structure of NaMnNF2 from the Alexandria database. Energies are from PBE+U.

Cell lengths 4.196, 4.196, 3.743 Å; angles 90.00, 90.00, 90.00 degrees
Positions (direct):
1 Na 0.500 0.500 0.500
2 N 0.000 0.000 0.500
3 Mn 0.000 0.000 0.000
4 F 0.000 0.500 0.000
5 F 0.500 0.000 0.000

Output
Excess energy over the best structure of this formula in the dataset: 0.0 meV per atom
Space group: P4/mmm, No. 123